Computed, not measured: an optimized crystal structure of MgGeF3 at the PBE level of DFT.

Lattice parameters (Å, degrees): 4.4144 4.4144 4.4144 90.00 90.00 90.00
Space group Pm-3m (No. 221)
One atom of each set of equivalent atoms:
Mg (0.0000, 0.0000, 0.0000) (multiplicity 1)
Ge (0.5000, 0.5000, 0.5000) (multiplicity 1)
F (0.0000, 0.5000, 0.5000) (multiplicity 3)

Formation energy without anion corrections, kcal/mol of atoms: -38.26

Computed, not measured: an optimized crystal structure of MgGe2F6 at the PBE level of DFT.

Lattice parameters (Å, degrees): 9.7116 10.7952 5.9417 90.00 110.28 90.00
Space group C2/c (No. 15)
One atom of each set of equivalent atoms:
Mg (0.0000, 0.0648, 0.2500) (multiplicity 4)
Ge (0.1630, 0.3774, 0.2786) (multiplicity 8)
F (0.1105, 0.0646, 0.6209) (multiplicity 8)
F (0.1455, 0.3930, 0.9672) (multiplicity 8)
F (0.1499, 0.1940, 0.2543) (multiplicity 8)

Formation energy without anion corrections, kcal/mol of atoms: -57.34

Computed, not measured: an optimized crystal structure of Mg2GeF at the PBE level of DFT.

Lattice parameters (Å, degrees): 5.3777 5.3777 11.1852 90.00 90.00 90.00
Space group I-42d (No. 122)
One atom of each set of equivalent atoms:
Mg (0.1614, 0.2500, 0.1250) (multiplicity 8)
Ge (0.0000, 0.0000, 0.5000) (multiplicity 4)
F (0.0000, 0.0000, 0.0000) (multiplicity 4)

Formation energy without anion corrections, kcal/mol of atoms: -23.61

Computed, not measured: an optimized crystal structure of MgGe2F at the PBE level of DFT.

Lattice parameters (Å, degrees): 6.5121 6.5121 6.5121 90.00 90.00 90.00
Space group Fm-3m (No. 225)
One atom of each set of equivalent atoms:
Mg (0.0000, 0.0000, 0.0000) (multiplicity 4)
Ge (0.2500, 0.2500, 0.2500) (multiplicity 8)
F (0.0000, 0.0000, 0.5000) (multiplicity 4)

Formation energy without anion corrections, kcal/mol of atoms: -6.82

Computed, not measured: an optimized crystal structure of MgGeF6 at the PBE level of DFT.

Lattice parameters (Å, degrees): 4.8594 4.8594 4.5621 90.00 90.00 120.00
Space group P312 (No. 149)
One atom of each set of equivalent atoms:
Mg (0.0000, 0.0000, 0.0000) (multiplicity 1)
Ge (0.6667, 0.3333, 0.5000) (multiplicity 1)
F (0.3533, 0.0354, 0.7350) (multiplicity 6)

Formation energy without anion corrections, kcal/mol of atoms: -65.59

Computed, not measured: an optimized crystal structure of MgGe2F8 at the PBE level of DFT.

Lattice parameters (Å, degrees): 6.1574 6.1574 5.0918 90.00 90.00 120.00
Space group P-3m1 (No. 164)
One atom of each set of equivalent atoms:
Mg (0.0000, 0.0000, 0.0000) (multiplicity 1)
Ge (0.3333, 0.6667, 0.7442) (multiplicity 2)
F (0.1557, 0.3114, 0.7738) (multiplicity 6)
F (0.3333, 0.6667, 0.3961) (multiplicity 2)

Formation energy without anion corrections, kcal/mol of atoms: -55.02